Record 1
NbCuAu2S: optimized geometry, PBE-GGA.

Results
Formation energy without anion corrections ... 664 meV/atom
DFT total energy ... -21.5 eV for the cell shown

Cell: 5.2219 4.6119 5.2219 Å, 90.00 90.00 90.00°
Fractional coordinates of all 5 atoms:
Cu1 0.5000 0.5000 0.5000
S1 0.0000 0.5000 0.0000
Au1 0.0000 0.0000 0.5000
Au2 0.5000 0.0000 0.0000
Nb1 0.0000 0.0000 0.0000

***

Record 2
Ca4AgPt2Au: optimized geometry, PBE-GGA.

Results
DFT total energy ... -32.1 eV for the cell shown
Formation enthalpy at 0 K ... -0.7367 eV per atom

Cell: 5.0660 5.0660 8.7435 Å, 73.16 73.16 60.00°
Fractional coordinates of all 8 atoms:
Pt1 0.7477 0.7477 0.7570
Pt2 0.2523 0.2523 0.2430
Ca1 0.8736 0.8736 0.3793
Ca2 0.3763 0.3763 0.8711
Ca3 0.1264 0.1264 0.6207
Ca4 0.6237 0.6237 0.1289
Ag1 0.0000 0.0000 0.0000
Au1 0.5000 0.5000 0.5000

***

Record 3
La2PtPb: optimized geometry, PBE-GGA.

Results
DFT total energy ... -22.4 eV for the cell shown
Formation enthalpy at 0 K ... -0.6982 eV per atom

Cell: 5.2080 5.2080 4.1439 Å, 90.00 90.00 92.52°
Fractional coordinates of all 4 atoms:
La1 0.0000 0.0000 0.0000
La2 0.5000 0.5000 0.0000
Pb1 0.5000 0.0000 0.5000
Pt1 0.0000 0.5000 0.5000

***

Record 4
GeP2PbS: optimized geometry, PBE-GGA.

Results
Formation energy without anion corrections ... 1229 meV/atom
DFT total energy ... -17.1 eV for the cell shown

Cell: 5.1759 5.1759 5.1503 Å, 90.00 90.00 90.00°
Site moments in Bohr magnetons follow the coordinates.
Fractional coordinates of all 5 atoms:
S1 0.0000 0.0000 0.5000  0.03
Ge1 0.5000 0.5000 0.5000  -0.02
Pb1 0.0000 0.0000 0.0000  0.00
P1 0.5000 0.0000 0.0000  0.08
P2 0.0000 0.5000 0.0000  0.08

***

Record 5
CuNiBr2: optimized geometry, PBE-GGA.

Results
Formation energy without anion corrections ... 161 meV/atom
DFT total energy ... -12.6 eV for the cell shown

Cell: 5.4267 5.4267 5.4267 Å, 142.26 93.83 98.19°
Site moments in Bohr magnetons follow the coordinates.
Fractional coordinates of all 4 atoms:
Ni1 0.7500 0.2500 0.5000  0.59
Br1 0.9913 0.9913 0.0000  0.03
Br2 0.5087 0.5087 0.0000  0.03
Cu1 0.2500 0.7500 0.5000  0.01

***

Record 6
CaSeN2F: optimized geometry, PBE-GGA.

Results
Formation energy without anion corrections ... 1083 meV/atom
DFT total energy ... -18.6 eV for the cell shown

Cell: 4.3452 4.3452 4.0369 Å, 90.00 90.00 90.00°
Site moments in Bohr magnetons follow the coordinates.
Fractional coordinates of all 5 atoms:
Se1 0.0000 0.0000 0.5000  0.04
N1 0.0000 0.5000 0.0000  0.79
N2 0.5000 0.0000 0.0000  0.79
F1 0.0000 0.0000 0.0000  0.03
Ca1 0.5000 0.5000 0.5000  -0.01

***

Record 7
MgPaZnSi: optimized geometry, PBE-GGA.

Results
Formation energy without anion corrections ... -113 meV/atom
DFT total energy ... -18.2 eV for the cell shown

Cell: 4.7969 4.7969 4.7969 Å, 60.00 60.00 60.00°
Site moments in Bohr magnetons follow the coordinates.
Fractional coordinates of all 4 atoms:
Pa1 0.0000 0.0000 0.0000  0.12
Zn1 0.2500 0.2500 0.2500  0.00
Si1 0.7500 0.7500 0.7500  0.01
Mg1 0.5000 0.5000 0.5000  0.00

***

Record 8
Ac4GaSiTe2: optimized geometry, PBE-GGA.

Results
Formation energy without anion corrections ... -999 meV/atom
DFT total energy ... -39.2 eV for the cell shown

Cell: 4.6074 8.0506 8.3229 Å, 108.47 90.00 90.00°
Fractional coordinates of all 8 atoms:
Si1 0.0000 0.0000 0.0000
Ga1 0.5000 0.5000 0.0000
Te1 0.0000 0.5000 0.5000
Te2 0.5000 0.0000 0.5000
Ac1 0.5000 0.2367 0.2257
Ac2 0.0000 0.2515 0.7680
Ac3 0.5000 0.7633 0.7743
Ac4 0.0000 0.7485 0.2320